Record 1
VASP calculation (PBE) on Fe2NiRu after structural relaxation.

Computed properties:
The calculation puts the formation enthalpy at 0 K at 39.3 kJ/mol of formula units. The value obtained for the energy is -7.89 eV per atom. As for the density of states at the Fermi level: 1.3720 states/eV per atom.

a b c (Å): 5.1467 7.2927 2.5890
angles (deg): 90.00 90.00 90.00
Space group Cmmm (No. 65)
One atom of each set of equivalent atoms:
Fe 0.2500 0.2500 0.0000
Ni 0.0000 0.0000 0.5000
Ru 0.0000 0.5000 0.5000


Record 2
VASP calculation (PBE) on HfMg3Nb3N8 after structural relaxation.

Computed properties:
The value obtained for the energy is -8.40 eV per atom. As for the density of states at the Fermi level: 0.1963 states/eV per atom. The value obtained for the raw formation energy is -14.50 eV/f.u.

a b c (Å): 6.2339 6.2339 15.4705
angles (deg): 90.00 90.00 120.00
Space group R-3m (No. 166, hexagonal axes)
One atom of each set of equivalent atoms:
Hf 0.0000 0.0000 0.0000
Mg 0.0000 0.5000 0.5000
Nb 0.0000 0.5000 0.0000
N 0.0000 0.0000 0.2518
N 0.0015 0.5007 0.2579


Record 3
VASP calculation (PBE) on Tc2SbAu after structural relaxation.

Computed properties:
The value obtained for the energy is -6.50 eV per atom. As for the density of states at the Fermi level: 1.1002 states/eV per atom. The value obtained for the raw formation energy is 2.13 eV/f.u.

a b c (Å): 3.9672 3.9672 19.6261
angles (deg): 90.00 90.00 90.00
Space group I-42d (No. 122)
One atom of each set of equivalent atoms:
Tc 0.1741 0.2500 0.1250
Sb 0.0000 0.0000 0.5000
Au 0.0000 0.0000 0.0000


Record 4
VASP calculation (PBE) on Tb6TeAs2Pb3 after structural relaxation.

Computed properties:
The value obtained for the energy is -5.24 eV per atom. As for the density of states at the Fermi level: 0.3880 states/eV per atom. The value obtained for the raw formation energy is -11.51 eV/f.u.

a b c (Å): 19.4682 4.1738 9.0269
angles (deg): 90.00 109.70 90.00
Space group C2/m (No. 12)
One atom of each set of equivalent atoms:
Tb 0.0106 0.0000 0.2528
Tb 0.1677 0.5000 0.1039
Tb 0.1746 0.5000 0.5614
Te 0.0000 0.5000 0.0000
As 0.1675 0.0000 0.3308
Pb 0.0000 0.5000 0.5000
Pb 0.1620 0.0000 0.8256